Entry 1:
# Al2InRu, relaxed, DFT PBE
# D(E_F) = 0.72 states/eV per atom
# Calculated total energy = -5.0181 eV/atom
data_Al2InRu
_cell_length_a 3.0584
_cell_length_b 3.0584
_cell_length_c 26.1769
_cell_angle_alpha 90.00
_cell_angle_beta 90.00
_cell_angle_gamma 120.00
_symmetry_space_group_name_H-M 'R -3 m'
_symmetry_Int_Tables_number 166
_symmetry_space_group_name_Hall '-R 3 2"'
loop_
_atom_site_label
_atom_site_fract_x
_atom_site_fract_y
_atom_site_fract_z
Al1 0.0000 0.0000 0.2359
In1 0.0000 0.0000 0.0000
Ru1 0.0000 0.0000 0.5000


Entry 2:
# NaCeBi2, relaxed, DFT PBE
# D(E_F) = 1.57 states/eV per atom
# Calculated total energy = -4.0782 eV/atom
# Offset from the most stable computed form = 0.759 eV per formula unit
data_NaCeBi2
_cell_length_a 3.5878
_cell_length_b 3.5878
_cell_length_c 32.1453
_cell_angle_alpha 90.00
_cell_angle_beta 90.00
_cell_angle_gamma 120.00
_symmetry_space_group_name_H-M 'R -3 m'
_symmetry_Int_Tables_number 166
_symmetry_space_group_name_Hall '-R 3 2"'
loop_
_atom_site_label
_atom_site_fract_x
_atom_site_fract_y
_atom_site_fract_z
Na1 0.0000 0.0000 0.0000
Ce1 0.0000 0.0000 0.5000
Bi1 0.0000 0.0000 0.2516


Entry 3:
# ZnPRh3, relaxed, DFT PBE
# D(E_F) = 2.20 states/eV per atom
# Calculated total energy = -4.5333 eV/atom
# Offset from the most stable computed form = 6.624 eV per formula unit
data_ZnPRh3
_cell_length_a 4.514
_cell_length_b 4.514
_cell_length_c 4.514
_cell_angle_alpha 90.00
_cell_angle_beta 90.00
_cell_angle_gamma 90.00
_symmetry_space_group_name_H-M 'P m -3 m'
_symmetry_Int_Tables_number 221
_symmetry_space_group_name_Hall '-P 4 2 3'
loop_
_atom_site_label
_atom_site_fract_x
_atom_site_fract_y
_atom_site_fract_z
Zn1 0.000 0.000 0.000
P1 0.500 0.500 0.500
Rh1 0.000 0.000 0.500


Entry 4:
# EuSnHgSb, relaxed, DFT PBE
# D(E_F) = 0.55 states/eV per atom
# Formation energy from raw total energies = -154 kJ/mol of formula units
# Calculated total energy = -5.0748 eV/atom
data_EuSnHgSb
_cell_length_a 7.705
_cell_length_b 7.705
_cell_length_c 7.705
_cell_angle_alpha 90.00
_cell_angle_beta 90.00
_cell_angle_gamma 90.00
_symmetry_space_group_name_H-M 'F -4 3 m'
_symmetry_Int_Tables_number 216
_symmetry_space_group_name_Hall 'F -4 2 3'
loop_
_atom_site_label
_atom_site_fract_x
_atom_site_fract_y
_atom_site_fract_z
Eu1 0.000 0.000 0.000
Sn1 0.000 0.000 0.500
Hg1 0.250 0.250 0.750
Sb1 0.250 0.250 0.250


Entry 5:
# LiMgRh2O4, relaxed, DFT PBE
# Formation energy from raw total energies = -957 kJ/mol of formula units
# Calculated total energy = -5.9957 eV/atom
data_LiMgRh2O4
_cell_length_a 5.332
_cell_length_b 3.049
_cell_length_c 5.789
_cell_angle_alpha 90.00
_cell_angle_beta 117.02
_cell_angle_gamma 90.00
_symmetry_space_group_name_H-M 'P 1 2/m 1'
_symmetry_Int_Tables_number 10
loop_
_symmetry_equiv_pos_as_xyz
'x,y,z'
'-x,-y,-z'
'-x,y,-z'
'x,-y,z'
loop_
_atom_site_label
_atom_site_fract_x
_atom_site_fract_y
_atom_site_fract_z
Li1 0.000 0.000 0.000
Mg1 0.000 0.500 0.500
Rh1 0.500 0.000 0.500
Rh2 0.500 0.500 0.000
O1 0.222 0.500 0.284
O2 0.291 0.000 0.728


Entry 6:
# Be2Cd, relaxed, DFT PBE
# D(E_F) = 0.18 states/eV per atom
# Calculated total energy = -2.5055 eV/atom
# Offset from the most stable computed form = 0.164 eV per formula unit
data_Be2Cd
_cell_length_a 7.871
_cell_length_b 2.646
_cell_length_c 8.193
_cell_angle_alpha 90.00
_cell_angle_beta 93.52
_cell_angle_gamma 90.00
_symmetry_space_group_name_H-M 'C 1 2/m 1'
_symmetry_Int_Tables_number 12
loop_
_symmetry_equiv_pos_as_xyz
'x,y,z'
'-x,-y,-z'
'-x,y,-z'
'x,-y,z'
'x+1/2,y+1/2,z'
'-x+1/2,-y+1/2,-z'
'-x+1/2,y+1/2,-z'
'x+1/2,-y+1/2,z'
loop_
_atom_site_label
_atom_site_fract_x
_atom_site_fract_y
_atom_site_fract_z
Be1 0.048 0.000 0.373
Be2 0.165 0.500 0.568
Cd1 0.231 0.500 0.161


Entry 7:
# La6AlGe2Br3, relaxed, DFT PBE
# D(E_F) = 0.55 states/eV per atom
# Formation energy from raw total energies = -1241 kJ/mol of formula units
# Calculated total energy = -5.0356 eV/atom
data_La6AlGe2Br3
_cell_length_a 19.407
_cell_length_b 4.413
_cell_length_c 8.950
_cell_angle_alpha 90.00
_cell_angle_beta 102.51
_cell_angle_gamma 90.00
_symmetry_space_group_name_H-M 'C 1 2/m 1'
_symmetry_Int_Tables_number 12
loop_
_symmetry_equiv_pos_as_xyz
'x,y,z'
'-x,-y,-z'
'-x,y,-z'
'x,-y,z'
'x+1/2,y+1/2,z'
'-x+1/2,-y+1/2,-z'
'-x+1/2,y+1/2,-z'
'x+1/2,-y+1/2,z'
loop_
_atom_site_label
_atom_site_fract_x
_atom_site_fract_y
_atom_site_fract_z
La1 0.007 0.000 0.246
La2 0.163 0.500 0.101
La3 0.173 0.500 0.568
Al1 0.000 0.500 0.000
Ge1 0.167 0.000 0.335
Br1 0.000 0.500 0.500
Br2 0.167 0.000 0.832


Entry 8:
# AlAgPtRh, relaxed, DFT PBE
# D(E_F) = 0.31 states/eV per atom
# Calculated total energy = -5.4243 eV/atom
data_AlAgPtRh
_cell_length_a 6.244
_cell_length_b 6.244
_cell_length_c 6.244
_cell_angle_alpha 90.00
_cell_angle_beta 90.00
_cell_angle_gamma 90.00
_symmetry_space_group_name_H-M 'F -4 3 m'
_symmetry_Int_Tables_number 216
_symmetry_space_group_name_Hall 'F -4 2 3'
loop_
_atom_site_label
_atom_site_fract_x
_atom_site_fract_y
_atom_site_fract_z
Al1 0.000 0.000 0.000
Ag1 0.000 0.000 0.500
Pt1 0.250 0.250 0.250
Rh1 0.250 0.250 0.750